No. 1
{
  "formula": "Hf3TaOs",
  "functional": "PBE",
  "state": "relaxed",
  "lattice_angstrom": [[-0.832, 2.787, 4.000], [3.737, -2.241, 2.339], [3.131, 3.416, -1.728]],
  "species": ["Hf", "Hf", "Hf", "Os", "Ta"],
  "fractional_positions": [[0.000, 0.500, 0.000], [0.000, 0.000, 0.500], [0.500, 0.000, 0.000], [0.000, 0.000, 0.000], [0.500, 0.500, 0.500]],
  "space_group": "Pm-3m",
  "dft_energy_ev_per_cell": -49.10,
  "polymorph_energy_mev_per_atom": 0.0,
  "delta_e_f_ev_per_fu": 3.84
}


No. 2
{
  "formula": "ScAl4Tc",
  "functional": "PBE",
  "state": "relaxed",
  "lattice_angstrom": [[5.075, -0.001, -1.119], [-1.943, 6.003, -2.836], [0.196, -0.599, 6.897]],
  "species": ["Sc", "Sc", "Al", "Al", "Al", "Al", "Al", "Al", "Al", "Al", "Tc", "Tc"],
  "fractional_positions": [[0.250, 0.414, 0.586], [0.750, 0.586, 0.414], [0.140, 0.412, 0.166], [0.038, 0.911, 0.291], [0.360, 0.834, 0.589], [0.640, 0.166, 0.411], [0.860, 0.588, 0.834], [0.538, 0.291, 0.912], [0.462, 0.709, 0.088], [0.962, 0.089, 0.709], [0.750, 0.002, 0.998], [0.250, 0.998, 0.002]],
  "space_group": "P-1",
  "dft_energy_ev_per_cell": -66.88,
  "polymorph_energy_mev_per_atom": 0.0,
  "delta_e_f_ev_per_fu": -1.77
}


No. 3
{
  "formula": "CrCd4Au2",
  "functional": "PBE",
  "state": "relaxed",
  "lattice_angstrom": [[5.326, 0.000, 0.000], [0.000, 5.326, 0.000], [2.663, 2.663, 6.779]],
  "species": ["Cr", "Au", "Au", "Cd", "Cd", "Cd", "Cd"],
  "fractional_positions": [[0.000, 0.000, 0.000], [0.601, 0.601, 0.799], [0.399, 0.399, 0.201], [0.798, 0.798, 0.403], [0.202, 0.202, 0.597], [0.000, 0.500, 0.000], [0.500, 0.000, 0.000]],
  "space_group": "I4/mmm",
  "dft_energy_ev_per_cell": -17.05,
  "delta_e_f_ev_per_fu": 2.79
}